A plane-wave DFT calculation with PBE was carried out for crystalline La2NdHo7 at its relaxed geometry.

Results
Density ... 8.028 Mg/m³
E above lowest polymorph ... 0 meV per atom
E_tot ... -4.640 eV per atom
Magnetic moment ... 0.0000 μB per atom
DOS at the Fermi energy ... 1.496 states/eV per atom

Lattice parameters (Å, degrees): 6.182 7.153 8.058 77.00 74.94 73.89
Space group P-1 (No. 2)
Unique sites:
La1 0.202 0.296 0.101
Nd1 0.000 0.500 0.500
Ho1 0.000 0.000 0.500
Ho2 0.198 0.800 0.102
Ho3 0.399 0.601 0.697
Ho4 0.400 0.100 0.697